Arrangement P

Entry from the Alexandria database: a relaxed structure of CaZn3N (PBE).

Results
Theoretical density   4.78 g/cm3
Total magnetic moment   0.00 μB/f.u.
DOS(E_F)   2.6 states/eV per cell
Space group   Pm-3m

```
5
Lattice="4.432 0.000 0.000 0.000 4.432 0.000 0.000 0.000 4.432" Properties=species:S:1:pos:R:3 pbc="T T T"
Ca 0.000 0.000 0.000
Zn 0.000 2.216 2.216
Zn 2.216 0.000 2.216
Zn 2.216 2.216 0.000
N 2.216 2.216 2.216
```

=====

Arrangement Q

Entry from the Alexandria database: a relaxed structure of CaZn3N (PBE).

Results
Theoretical density   1.82 g/cm3
Total magnetic moment   2.27 μB/f.u.
DOS(E_F)   5.7 states/eV per cell
Space group   Pm-3m

```
5
Lattice="6.107 0.000 0.000 0.000 6.107 0.000 0.000 0.000 6.107" Properties=species:S:1:pos:R:3 pbc="T T T"
Ca 0.000 0.000 0.000
Zn 0.000 0.000 3.054
Zn 0.000 3.054 0.000
Zn 3.054 0.000 0.000
N 3.054 3.054 3.054
```

=====

Which structure is the least stable? The one labeled arrangement Q.

=====

Arrangement P

Entry from the Alexandria database: a relaxed structure of CaZr2ZnN (PBE).

Results
Theoretical density   5.26 g/cm3
Total magnetic moment   0.00 μB/f.u.
DOS(E_F)   3.5 states/eV per cell
Space group   P4/mmm

```
5
Lattice="4.482 0.000 0.000 0.000 4.482 0.000 0.000 0.000 4.746" Properties=species:S:1:pos:R:3 pbc="T T T"
Ca 0.000 0.000 0.000
Zr 0.000 2.241 2.373
Zr 2.241 0.000 2.373
Zn 2.241 2.241 0.000
N 0.000 0.000 2.373
```

=====

Arrangement Q

Entry from the Alexandria database: a relaxed structure of CaZr2ZnN (PBE).

Results
Theoretical density   4.46 g/cm3
Total magnetic moment   1.00 μB/f.u.
DOS(E_F)   7.8 states/eV per cell
Space group   P4/mmm

```
5
Lattice="5.577 0.000 0.000 0.000 5.577 0.000 0.000 0.000 3.615" Properties=species:S:1:pos:R:3 pbc="T T T"
Ca 0.000 0.000 0.000
Zr 0.000 2.788 1.807
Zr 2.788 0.000 1.807
Zn 2.788 2.788 1.807
N 2.788 2.788 0.000
```

=====

Which structure is the least stable? The one labeled arrangement Q.

=====

Arrangement P

Entry from the Alexandria database: a relaxed structure of CaZr3N (PBE).

Results
Theoretical density   5.37 g/cm3
Total magnetic moment   0.00 μB/f.u.
DOS(E_F)   3.0 states/eV per cell
Space group   Pm-3m

```
5
Lattice="4.663 0.000 0.000 0.000 4.663 0.000 0.000 0.000 4.663" Properties=species:S:1:pos:R:3 pbc="T T T"
Ca 0.000 0.000 0.000
Zr 0.000 2.331 2.331
Zr 2.331 0.000 2.331
Zr 2.331 2.331 0.000
N 2.331 2.331 2.331
```

=====

Arrangement Q

Entry from the Alexandria database: a relaxed structure of CaZr3N (PBE).

Results
Theoretical density   4.39 g/cm3
Total magnetic moment   0.00 μB/f.u.
DOS(E_F)   8.1 states/eV per cell
Space group   Pm-3m

```
5
Lattice="4.985 0.000 0.000 0.000 4.985 0.000 0.000 0.000 4.985" Properties=species:S:1:pos:R:3 pbc="T T T"
Ca 0.000 0.000 0.000
Zr 0.000 0.000 2.493
Zr 0.000 2.493 0.000
Zr 2.493 0.000 0.000
N 2.493 2.493 2.493
```

=====

Which structure is the least stable? The one labeled arrangement Q.

=====

Arrangement P

Entry from the Alexandria database: a relaxed structure of NaCa (PBE).

Results
Theoretical density   1.22 g/cm3
Total magnetic moment   0.00 μB/f.u.
DOS(E_F)   13.3 states/eV per cell
Space group   P6_3/m

```
12
Lattice="12.735 0.000 0.000 -6.368 11.029 0.000 0.000 0.000 3.656" Properties=species:S:1:pos:R:3 pbc="T T T"
Na -1.092 3.145 0.914
Na -3.098 10.403 0.914
Na 2.177 2.519 2.742
Na 4.190 8.511 0.914
Na 9.466 0.626 2.742
Na 7.460 7.884 2.742
Ca -2.060 6.794 0.914
Ca 1.514 5.848 0.914
Ca 0.546 9.416 0.914
Ca 5.822 1.613 2.742
Ca 4.854 5.181 2.742
Ca 8.428 4.235 2.742
```

=====

Arrangement Q

Entry from the Alexandria database: a relaxed structure of NaCa (PBE).

Results
Theoretical density   1.26 g/cm3
Total magnetic moment   0.00 μB/f.u.
DOS(E_F)   5.8 states/eV per cell
Space group   Fddd

```
8
Lattice="0.000 5.626 9.051 3.261 0.000 9.051 3.261 5.626 0.000" Properties=species:S:1:pos:R:3 pbc="T T T"
Na 0.815 1.407 0.762
Na 0.815 1.407 3.763
Na 5.707 9.846 14.339
Na 5.707 9.846 17.340
Ca 2.446 2.378 6.788
Ca 4.076 5.191 11.314
Ca 2.446 6.061 6.788
Ca 4.076 8.874 11.314
```

=====

Which structure is the least stable? The one labeled arrangement Q.